Entry 1:
A plane-wave DFT calculation with PBE was carried out for a relaxed structure of ZnReCl2.

**E_tot**: -13.4 eV for the cell shown
**DOS at the Fermi energy**: 0.77 states/eV per atom
**Offset from the most stable computed form**: 1021 meV/atom

abc: 4.7288 4.7288 2.9100
angles: 90.00 90.00 90.00
Space group P4/mmm (No. 123)
Unique sites:
Zn1 0.0000 0.0000 0.0000 (multiplicity 1)
Re1 0.5000 0.5000 0.0000 (multiplicity 1)
Cl1 0.0000 0.5000 0.5000 (multiplicity 2)


Entry 2:
A plane-wave DFT calculation with PBE was carried out for a relaxed structure of AcNd4Sm.

**Calculated formation energy**: 1.36 eV/f.u.
**E_tot**: -106.1 eV for the cell shown
**DOS at the Fermi energy**: 1.58 states/eV per atom
**Offset from the most stable computed form**: 168 meV/atom

abc: 7.0237 12.5707 10.0617
angles: 90.00 90.00 90.00
Space group Cmcm (No. 63)
Unique sites:
Ac1 0.0000 0.1858 0.2500 (multiplicity 4)
Nd1 0.0000 0.3299 0.5737 (multiplicity 8)
Nd2 0.2245 0.4230 0.2500 (multiplicity 8)
Sm1 0.0000 0.0000 0.0000 (multiplicity 4)


One value per record, in order, for volume: 65.1; 888.4 Å³ per cell.